Y3BeP GGA-PBE optimized geometry; D(E_F) = 1.503 states/eV per atom; E_tot = -5.86 eV per atom; magnetization = 0.0000 μB per atom; E_form = -0.155 eV per atom; excess energy over the best structure of this formula in the dataset = 0.00 eV per formula unit; V = 143.1 Å³ per cell
1.0
-4.1251 -1.4301 2.8813
-2.8689 -0.4836 -4.3473
1.4549 -5.0084 -0.4030
Be Y P
1 3 1
Direct
0.5000 0.5000 0.5000
0.5000 0.0000 0.0000
0.0000 0.5000 0.0000
0.0000 0.0000 0.5000
0.0000 0.0000 0.0000